Entry 1:
# KHOF2, optimized geometry, DFT GGA-PBE
data_KHOF2
_cell_length_a 4.592
_cell_length_b 4.592
_cell_length_c 2.674
_cell_angle_alpha 90.00
_cell_angle_beta 90.00
_cell_angle_gamma 90.00
_symmetry_space_group_name_H-M 'P 1'
_symmetry_Int_Tables_number 1
_symmetry_space_group_name_Hall 'P 1'
loop_
_atom_site_label
_atom_site_type_symbol
_atom_site_fract_x
_atom_site_fract_y
_atom_site_fract_z
K1 K 0.500 0.500 0.500
O1 O 0.000 0.000 0.500
H1 H 0.000 0.000 0.000
F1 F 0.000 0.500 0.000
F2 F 0.500 0.000 0.000
# N(E_F): 1.392 states/eV/f.u.
# Magnetic moment: 2.00 μB per formula unit
# Space-group type: P4/mmm, No. 123
# Energy relative to the lowest polymorph listed for this composition: 0.000 eV/atom
# Electronic total energy: -17.5 eV/f.u.



Entry 2:
# KHOF2, optimized geometry, DFT GGA-PBE
data_KHOF2
_cell_length_a 5.099
_cell_length_b 5.099
_cell_length_c 5.643
_cell_angle_alpha 90.00
_cell_angle_beta 90.00
_cell_angle_gamma 90.00
_symmetry_space_group_name_H-M 'P 1'
_symmetry_Int_Tables_number 1
_symmetry_space_group_name_Hall 'P 1'
loop_
_atom_site_label
_atom_site_type_symbol
_atom_site_fract_x
_atom_site_fract_y
_atom_site_fract_z
K1 K 0.000 0.000 0.000
F1 F 0.500 0.000 0.000
F2 F 0.000 0.500 0.000
O1 O 0.000 0.000 0.500
H1 H 0.500 0.500 0.500
# N(E_F): 14.339 states/eV/f.u.
# Magnetic moment: 2.00 μB per formula unit
# Space-group type: P4/mmm, No. 123
# Energy relative to the lowest polymorph listed for this composition: 0.990 eV/atom
# Electronic total energy: -12.6 eV/f.u.



Entry 3:
# KH6O2F2, optimized geometry, DFT GGA-PBE
data_KH6O2F2
_cell_length_a 4.619
_cell_length_b 6.765
_cell_length_c 6.250
_cell_angle_alpha 127.55
_cell_angle_beta 90.19
_cell_angle_gamma 70.14
_symmetry_space_group_name_H-M 'P 1'
_symmetry_Int_Tables_number 1
_symmetry_space_group_name_Hall 'P 1'
loop_
_atom_site_label
_atom_site_type_symbol
_atom_site_fract_x
_atom_site_fract_y
_atom_site_fract_z
K1 K 0.500 0.000 0.500
O1 O 0.176 0.652 0.707
O2 O 0.824 0.348 0.293
H1 H 0.838 0.325 0.505
H2 H 0.162 0.675 0.495
F1 F 0.850 0.302 0.654
H3 H 0.701 0.247 0.170
H4 H 0.046 0.249 0.171
H5 H 0.954 0.751 0.829
F2 F 0.150 0.698 0.346
H6 H 0.299 0.753 0.830
# N(E_F): 1.307 states/eV/f.u.
# Magnetic moment: 0.00 μB per formula unit
# Space-group type: P-1, No. 2
# Electronic total energy: -47.5 eV/f.u.



Entry 4:
# KPH3O4F, optimized geometry, DFT GGA-PBE
data_KPH3O4F
_cell_length_a 12.416
_cell_length_b 6.366
_cell_length_c 7.015
_cell_angle_alpha 65.05
_cell_angle_beta 90.00
_cell_angle_gamma 90.00
_symmetry_space_group_name_H-M 'P 1'
_symmetry_Int_Tables_number 1
_symmetry_space_group_name_Hall 'P 1'
loop_
_atom_site_label
_atom_site_type_symbol
_atom_site_fract_x
_atom_site_fract_y
_atom_site_fract_z
H1 H 0.982 0.465 0.688
O1 O 0.622 0.380 0.116
O2 O 0.042 0.530 0.746
O3 O 0.378 0.620 0.884
O4 O 0.542 0.470 0.754
F1 F 0.427 0.007 0.303
O5 O 0.241 0.468 0.705
H2 H 0.295 0.537 0.778
H3 H 0.018 0.535 0.312
O6 O 0.878 0.380 0.616
O7 O 0.665 0.122 0.928
K1 K 0.135 0.125 0.109
P1 P 0.358 0.633 0.094
P2 P 0.142 0.633 0.594
O8 O 0.335 0.878 0.072
H4 H 0.387 0.949 0.201
H5 H 0.613 0.051 0.799
K2 K 0.365 0.125 0.609
F2 F 0.573 0.993 0.697
O9 O 0.458 0.530 0.246
H6 H 0.887 0.051 0.299
H7 H 0.518 0.465 0.188
H8 H 0.482 0.535 0.812
H9 H 0.705 0.463 0.222
O10 O 0.165 0.878 0.572
P3 P 0.642 0.367 0.906
O11 O 0.958 0.470 0.254
H10 H 0.205 0.537 0.278
H11 H 0.795 0.463 0.722
O12 O 0.259 0.468 0.205
F3 F 0.927 0.993 0.197
O13 O 0.759 0.532 0.295
P4 P 0.858 0.367 0.406
O14 O 0.835 0.122 0.428
O15 O 0.122 0.620 0.384
H12 H 0.113 0.949 0.701
O16 O 0.741 0.532 0.795
K3 K 0.865 0.875 0.891
K4 K 0.635 0.875 0.391
F4 F 0.073 0.007 0.803
# N(E_F): 0.000 states/eV/f.u.
# Magnetic moment: 0.00 μB per formula unit
# Space-group type: P2_1/c, No. 14
# Electronic total energy: -56.6 eV/f.u.